No. 1
DFT (PBE) results for a geometry-optimized Pm6InHg8 structure.

abc: 9.1166 9.1166 17.8926
angles: 90.00 90.00 120.00
Space group R-3 (No. 148, hexagonal axes)
One atom of each set of equivalent atoms:
Pm (0.0012, 0.2570, 0.4082) (multiplicity 18)
In (0.0000, 0.0000, 0.0000) (multiplicity 3)
Hg (0.0000, 0.0000, 0.2805) (multiplicity 6)
Hg (0.0203, 0.4051, 0.5670) (multiplicity 18)

Results
formation energy = -5.09 eV per formula unit
mass density = 10.0 g/cm³
energy = -116.244 eV/cell


No. 2
DFT (PBE) results for a geometry-optimized PrScGaNi structure.

abc: 6.945 6.945 6.945
angles: 90.00 90.00 90.00
Space group F-43m (No. 216)
One atom of each set of equivalent atoms:
Pr (0.000, 0.000, 0.000) (multiplicity 4)
Sc (0.000, 0.000, 0.500) (multiplicity 4)
Ga (0.250, 0.250, 0.250) (multiplicity 4)
Ni (0.250, 0.250, 0.750) (multiplicity 4)

Results
formation energy = -1.44 eV per formula unit
mass density = 6.2 g/cm³
energy = -85.422 eV/cell


No. 3
DFT (PBE) results for a geometry-optimized La2HgSb structure.

abc: 4.392 25.499 4.791
angles: 90.00 90.00 90.00
Space group Cmcm (No. 63)
One atom of each set of equivalent atoms:
La (0.000, 0.065, 0.250) (multiplicity 4)
La (0.000, 0.315, 0.250) (multiplicity 4)
Hg (0.000, 0.458, 0.250) (multiplicity 4)
Sb (0.000, 0.188, 0.250) (multiplicity 4)

Results
E_form (uncorrected) = -19.169 kcal/mol of atoms
mass density = 7.4 g/cm³
energy = -70.416 eV/cell
energy above the lowest structure with this stoichiometry = 0.000 eV/atom


No. 4
DFT (PBE) results for a geometry-optimized BeSbTe2 structure.

abc: 3.592 5.071 12.493
angles: 90.00 90.00 90.00
Space group Immm (No. 71)
One atom of each set of equivalent atoms:
Be (0.000, 0.000, 0.000) (multiplicity 2)
Sb (0.000, 0.000, 0.500) (multiplicity 2)
Te (0.000, 0.500, 0.353) (multiplicity 4)

Results
E_form (uncorrected) = 3.149 kcal/mol of atoms
mass density = 5.6 g/cm³
energy = -27.172 eV/cell
energy above the lowest structure with this stoichiometry = 0.110 eV/atom


No. 5
DFT (PBE) results for a geometry-optimized Ba2SbH structure.

abc: 5.751 5.751 4.166
angles: 90.00 90.00 90.00
Space group P4/mmm (No. 123)
One atom of each set of equivalent atoms:
Ba (0.000, 0.500, 0.000) (multiplicity 2)
Sb (0.000, 0.000, 0.500) (multiplicity 1)
H (0.500, 0.500, 0.500) (multiplicity 1)

Results
mass density = 4.8 g/cm³
energy = -13.516 eV/cell
energy above the lowest structure with this stoichiometry = 0.329 eV/atom


No. 6
DFT (PBE) results for a geometry-optimized BaScW2 structure.

abc: 5.055 5.055 6.665
angles: 90.00 90.00 90.00
Space group I-4m2 (No. 119)
One atom of each set of equivalent atoms:
Ba (0.000, 0.000, 0.000) (multiplicity 2)
Sc (0.000, 0.500, 0.250) (multiplicity 2)
W (0.000, 0.000, 0.500) (multiplicity 2)
W (0.000, 0.500, 0.750) (multiplicity 2)

Results
formation energy = 4.81 eV per formula unit
mass density = 10.7 g/cm³
energy = -58.710 eV/cell
energy above the lowest structure with this stoichiometry = 0.692 eV/atom


No. 7
DFT (PBE) results for a geometry-optimized MgAlO structure.

abc: 2.834 5.270 6.480
angles: 107.62 90.23 105.37
Space group P1 (No. 1)
One atom of each set of equivalent atoms:
Mg (0.000, 0.000, 0.000) (multiplicity 1)
Mg (0.276, 0.548, 0.284) (multiplicity 1)
Al (0.244, 0.482, 0.798) (multiplicity 1)
Al (0.564, 0.122, 0.471) (multiplicity 1)
O (0.621, 0.239, 0.228) (multiplicity 1)
O (0.934, 0.861, 0.380) (multiplicity 1)

Results
E_form (uncorrected) = -34.407 kcal/mol of atoms
mass density = 2.5 g/cm³
energy = -29.543 eV/cell
energy above the lowest structure with this stoichiometry = 0.042 eV/atom


No. 8
DFT (PBE) results for a geometry-optimized SmPaBe structure.

abc: 5.676 9.259 20.178
angles: 90.00 90.00 90.00
Space group Fddd (No. 70, origin choice 2)
One atom of each set of equivalent atoms:
Sm (0.125, 0.300, 0.125) (multiplicity 16)
Pa (0.125, 0.125, 0.539) (multiplicity 16)
Be (0.125, 0.125, 0.001) (multiplicity 16)

Results
formation energy = 0.81 eV per formula unit
mass density = 9.8 g/cm³
energy = -274.103 eV/cell